(1)
8
Lattice="4.172 0.000 0.000 0.000 7.293 0.000 0.000 0.000 6.963" Properties=species:S:1:pos:R:3 comment="CsIrSO PBE relaxed" m_tot_mub_per_fu=0.0 de_polymorph_mev_per_atom=105 pbc="T T T"
Cs 0.000 1.235 0.000
Cs 0.000 6.058 3.481
Ir 2.086 3.146 3.027
Ir 2.086 4.147 6.508
S 0.000 2.262 3.383
S 0.000 5.031 6.864
O 2.086 2.984 1.080
O 2.086 4.308 4.561


(2)
8
Lattice="4.423 0.000 0.000 0.000 4.423 0.000 0.000 0.000 9.888" Properties=species:S:1:pos:R:3 comment="CsIrSO PBE relaxed" m_tot_mub_per_fu=0.0 de_polymorph_mev_per_atom=995 pbc="T T T"
Cs 1.106 3.318 0.000
Cs 3.318 1.106 0.000
Ir 1.106 1.106 4.532
Ir 3.318 3.318 5.356
S 1.106 1.106 2.334
S 3.318 3.318 7.555
O 1.106 3.318 4.944
O 3.318 1.106 4.944


(3)
16
Lattice="5.692 0.000 0.000 0.000 6.296 0.000 -0.832 0.000 12.902" Properties=species:S:1:pos:R:3 comment="CsIrSO PBE relaxed" m_tot_mub_per_fu=0.7 de_polymorph_mev_per_atom=77 pbc="T T T"
Cs 0.682 1.518 5.723
Cs 0.266 1.630 12.174
Cs 4.594 4.666 0.728
Cs 4.178 4.778 7.179
Ir 2.022 4.608 4.190
Ir 1.606 4.835 10.641
Ir 3.254 1.460 2.261
Ir 2.838 1.688 8.712
S 1.368 3.253 9.154
S 1.784 6.191 2.703
S 3.076 0.105 10.199
S 3.492 3.043 3.748
O 1.166 4.677 5.796
O 0.750 4.767 12.247
O 4.110 1.529 0.655
O 3.694 1.619 7.106